This record from Alexandria via LeMat-Bulk describes a relaxed structure of VGa3O. The functional is GGA+U.

- Symmetry: Pm-3m
- Raw total energy: -20.692 eV per cell
- Spin magnetization: 2.44 μB/cell

Cell lengths 4.400, 4.400, 4.400 Å; angles 90.00, 90.00, 90.00 degrees
Fractional positions:
1 V 0.000 0.000 0.000
2 Ga 0.000 0.500 0.500
3 Ga 0.500 0.000 0.500
4 Ga 0.500 0.500 0.000
5 O 0.500 0.500 0.500